[1]
Entry from Alexandria via LeMat-Bulk: Ti2SnAu2 after structural relaxation (GGA-PBE).

## Properties
**Electronic total energy**: -5.435 eV/atom
**SG**: No. 127
**Density of states at the Fermi level**: 5.8 states/eV/f.u.
**Magnetic moment**: 0.00 μB/cell
**Calculated volume**: 193.6 Å³ per cell

a b c (Å): 7.5433 7.5433 3.4020
angles (deg): 90.00 90.00 90.00
Fractional positions:
Au (0.1346, 0.6346, 0.5000)
Au (0.6346, 0.8654, 0.5000)
Au (0.8654, 0.3654, 0.5000)
Au (0.3654, 0.1346, 0.5000)
Sn (0.0000, 0.0000, 0.0000)
Sn (0.5000, 0.5000, 0.0000)
Ti (0.3406, 0.8406, 0.0000)
Ti (0.8406, 0.6594, 0.0000)
Ti (0.6594, 0.1594, 0.0000)
Ti (0.1594, 0.3406, 0.0000)

[2]
Entry from Alexandria via LeMat-Bulk: NaSr2MnBr8 after structural relaxation (GGA-PBE).

## Properties
**Electronic total energy**: -3.749 eV/atom
**SG**: No. 10
**Magnetic moment**: 3.99 μB/cell
**Calculated volume**: 416.5 Å³ per cell

a b c (Å): 7.1393 6.6017 8.8394
angles (deg): 90.00 89.99 88.96
Fractional positions:
Na (0.0000, 0.0000, 0.5000)
Sr (0.5000, 0.4999, 0.7580)
Sr (0.5000, 0.5001, 0.2420)
Mn (0.0000, 0.0000, 0.0000)
Br (0.1346, 0.7823, 0.2026)
Br (0.6712, 0.7617, 0.9999)
Br (0.8652, 0.2175, 0.2026)
Br (0.8654, 0.2177, 0.7974)
Br (0.3288, 0.2384, 0.0001)
Br (0.1348, 0.7825, 0.7974)
Br (0.6859, 0.7187, 0.5000)
Br (0.3141, 0.2813, 0.5000)

[3]
Entry from Alexandria via LeMat-Bulk: BiAuS2 after structural relaxation (GGA-PBE).

## Properties
**Electronic total energy**: -4.027 eV/atom
**SG**: No. 1
**Density of states at the Fermi level**: 0.0 states/eV/f.u.
**Magnetic moment**: 0.00 μB/cell
**Calculated volume**: 212.3 Å³ per cell

a b c (Å): 4.5293 7.8165 6.9578
angles (deg): 86.39 69.56 67.38
Fractional positions:
S (0.9386, 0.4016, 0.8460)
S (0.1146, 0.5509, 0.2736)
S (0.8776, 0.0903, 0.3228)
S (0.1600, 0.8521, 0.8149)
Au (0.8825, 0.2866, 0.5617)
Au (0.5234, 0.9665, 0.5693)
Bi (0.4866, 0.7325, 0.0708)
Bi (0.5422, 0.2313, 0.0542)

[4]
Entry from Alexandria via LeMat-Bulk: Pr6AgRh2I3 after structural relaxation (GGA-PBE).

## Properties
**Electronic total energy**: -5.042 eV/atom
**SG**: No. 12
**Density of states at the Fermi level**: 8.1 states/eV/f.u.
**Magnetic moment**: 0.00 μB/cell
**Calculated volume**: 391.2 Å³ per cell

a b c (Å): 7.4267 7.4267 8.5568
angles (deg): 98.31 98.31 120.02
Fractional positions:
Pr (0.9362, 0.5808, 0.8095)
Pr (0.7078, 0.7078, 0.1894)
Pr (0.0638, 0.4192, 0.1905)
Pr (0.5808, 0.9362, 0.8095)
Pr (0.2922, 0.2922, 0.8106)
Pr (0.4192, 0.0638, 0.1905)
Ag (0.0000, 0.0000, 0.0000)
Rh (0.3330, 0.6670, 0.0000)
Rh (0.6670, 0.3330, 0.0000)
I (0.1644, 0.8356, 0.5000)
I (0.8356, 0.1644, 0.5000)
I (0.5000, 0.5000, 0.5000)

Question: The highest calculated volume belongs to which entry?
Answer: NaSr2MnBr8

Question: The lowest electronic total energy belongs to which entry?
Answer: Ti2SnAu2

Question: electronic total energy of number 3 (BiAuS2)?
Answer: -4.027 eV/atom

Question: Among the records above, which one has the lowest calculated volume?
Answer: Ti2SnAu2